Entry 1:
## Tl2Cd5Sb3 (GGA-PBE)

Data for a relaxed Tl2Cd5Sb3 crystal.

Geometry as CIF:
```
data_Tl2Cd5Sb3
_chemical_formula_sum 'Tl4 Cd10 Sb6'
_cell_length_a 14.1320
_cell_length_b 14.1320
_cell_length_c 8.1368
_cell_angle_alpha 90.00
_cell_angle_beta 90.00
_cell_angle_gamma 159.56
_symmetry_space_group_name_H-M 'P 1'
_symmetry_Int_Tables_number 1
_symmetry_space_group_name_Hall 'P 1'
loop_
_atom_site_label
_atom_site_fract_x
_atom_site_fract_y
_atom_site_fract_z
Tl1 0.0163 0.9837 0.5000
Tl2 0.3244 0.6756 0.5119
Tl3 0.6756 0.3244 0.0119
Tl4 0.9837 0.0163 0.0000
Cd1 0.1045 0.8955 0.8578
Cd2 0.2000 0.8000 0.7282
Cd3 0.2132 0.7868 0.2978
Cd4 0.3843 0.6157 0.9880
Cd5 0.4480 0.5520 0.6605
Cd6 0.5520 0.4480 0.1605
Cd7 0.6157 0.3843 0.4880
Cd8 0.7868 0.2132 0.7978
Cd9 0.8000 0.2000 0.2282
Cd10 0.8955 0.1045 0.3578
Sb1 0.1079 0.8921 0.2424
Sb2 0.2788 0.7212 0.0095
Sb3 0.4493 0.5507 0.2737
Sb4 0.5507 0.4493 0.7737
Sb5 0.7212 0.2788 0.5095
Sb6 0.8921 0.1079 0.7424
```

Properties
symmetry = Cmc2_1
formation energy (no corrections) = -0.026 eV per atom
DFT total energy = -2.19 eV/atom

***

Entry 2:
## Tl16Cd12Sb (GGA-PBE)

Data for a relaxed Tl16Cd12Sb crystal.

Geometry as CIF:
```
data_Tl16Cd12Sb
_chemical_formula_sum 'Tl16 Cd12 Sb1'
_cell_length_a 10.0108
_cell_length_b 10.0108
_cell_length_c 10.0281
_cell_angle_alpha 107.73
_cell_angle_beta 107.73
_cell_angle_gamma 108.13
_symmetry_space_group_name_H-M 'P 1'
_symmetry_Int_Tables_number 1
_symmetry_space_group_name_Hall 'P 1'
loop_
_atom_site_label
_atom_site_fract_x
_atom_site_fract_y
_atom_site_fract_z
Tl1 0.0000 0.0000 0.0000
Tl2 0.0042 0.0042 0.3625
Tl3 0.0035 0.6340 0.3649
Tl4 0.0109 0.6729 0.7597
Tl5 0.3070 0.3070 0.0624
Tl6 0.3083 0.6023 0.9704
Tl7 0.3273 0.6964 0.6751
Tl8 0.3431 0.3431 0.6840
Tl9 0.4036 0.9971 0.0284
Tl10 0.4085 0.6607 0.3628
Tl11 0.6023 0.3083 0.9704
Tl12 0.6340 0.0035 0.3649
Tl13 0.6607 0.4085 0.3628
Tl14 0.6729 0.0109 0.7597
Tl15 0.6964 0.3273 0.6751
Tl16 0.9971 0.4036 0.0284
Cd1 0.1703 0.3543 0.3427
Cd2 0.1854 0.9972 0.7212
Cd3 0.1886 0.8109 0.1709
Cd4 0.3517 0.9765 0.5253
Cd5 0.3543 0.1703 0.3427
Cd6 0.6492 0.8400 0.0130
Cd7 0.6533 0.6533 0.2028
Cd8 0.8109 0.1886 0.1709
Cd9 0.8260 0.8260 0.5529
Cd10 0.8400 0.6492 0.0130
Cd11 0.9765 0.3517 0.5253
Cd12 0.9972 0.1854 0.7212
Sb1 0.6523 0.6523 0.6981
```

Properties
symmetry = Cm
formation energy (no corrections) = 0.025 eV per atom
DFT total energy = -1.80 eV/atom

***

Entry 3:
## TlCd3Sb3 (GGA-PBE)

Data for a relaxed TlCd3Sb3 crystal.

Geometry as CIF:
```
data_TlCd3Sb3
_chemical_formula_sum 'Tl2 Cd6 Sb6'
_cell_length_a 8.0259
_cell_length_b 8.0259
_cell_length_c 8.0259
_cell_angle_alpha 90.00
_cell_angle_beta 90.00
_cell_angle_gamma 90.00
_symmetry_space_group_name_H-M 'P 1'
_symmetry_Int_Tables_number 1
_symmetry_space_group_name_Hall 'P 1'
loop_
_atom_site_label
_atom_site_fract_x
_atom_site_fract_y
_atom_site_fract_z
Tl1 0.0000 0.0000 0.0000
Tl2 0.5000 0.5000 0.5000
Cd1 0.0000 0.2500 0.5000
Cd2 0.0000 0.7500 0.5000
Cd3 0.2500 0.5000 0.0000
Cd4 0.5000 0.0000 0.2500
Cd5 0.5000 0.0000 0.7500
Cd6 0.7500 0.5000 0.0000
Sb1 0.0000 0.5000 0.2500
Sb2 0.0000 0.5000 0.7500
Sb3 0.2500 0.0000 0.5000
Sb4 0.5000 0.2500 0.0000
Sb5 0.5000 0.7500 0.0000
Sb6 0.7500 0.0000 0.5000
```

Properties
symmetry = Pm-3n
formation energy (no corrections) = 0.149 eV per atom
DFT total energy = -2.35 eV/atom